VASP calculation (meta-GGA SCAN) on a crystal of SrYAg2 relaxed with PBEsol.

Calculated values
Volume (A^3/atom): 25.05
Energy relative to the lowest polymorph listed for this composition (meV/atom): 125
Calculated formation energy (eV/f.u.): -0.7
DOS(E_F) (states/eV/f.u.): 2.43

abc: 11.234 3.505 5.287
angles: 90.00 105.68 90.00
Space group Cm (No. 8)
Unique sites:
Sr 0.000 0.000 0.000 [2 per cell]
Y 0.294 0.500 0.380 [2 per cell]
Ag 0.043 0.500 0.528 [2 per cell]
Ag 0.243 0.000 0.829 [2 per cell]